Entry 1:
First-principles (GGA-PBE) data for LaI2BrN after structural relaxation, as listed in Alexandria via LeMat-Bulk.

POSCAR file:
```
LaI2BrN
1.0
-5.880 0.698 -2.555
-2.484 -3.615 4.727
-0.541 3.110 2.094
Br N I La
1 1 2 1
Direct
0.000 0.000 0.000
0.000 0.000 0.500
0.500 0.000 0.000
0.000 0.500 0.000
0.500 0.500 0.500
```

E	-3.17	eV per atom
N(E_F)	0.92	states/eV/atom
symmetry	No. 123
energy relative to the elements, uncorrected	0.43	eV per atom
M_tot	0.22	μB per formula unit

=====

Entry 2:
First-principles (GGA-PBE) data for Tb6Sm2Dy3Sc after structural relaxation, as listed in Alexandria via LeMat-Bulk.

POSCAR file:
```
Tb6Sm2Dy3Sc
1.0
-5.932 0.230 -1.538
3.876 -3.465 -3.252
-1.477 -7.899 8.575
Sm Tb Dy Sc
2 6 3 1
Direct
0.667 0.333 0.000
0.333 0.667 0.000
0.587 0.917 0.751
0.753 0.753 0.250
0.083 0.413 0.249
0.247 0.247 0.750
0.917 0.587 0.751
0.413 0.083 0.249
0.166 0.834 0.500
0.834 0.166 0.500
0.500 0.500 0.500
0.000 0.000 0.000
```

E	-4.76	eV per atom
N(E_F)	1.27	states/eV/atom
symmetry	No. 12
M_tot	0.00	μB per formula unit

=====

Entry 3:
First-principles (GGA-PBE) data for RbAs2Cl8 after structural relaxation, as listed in Alexandria via LeMat-Bulk.

POSCAR file:
```
RbAs2Cl8
1.0
9.030 0.485 0.368
1.094 7.228 1.212
1.094 3.113 6.635
Cl As Rb
8 2 1
Direct
0.225 0.409 0.922
0.873 0.582 0.582
0.565 0.136 0.136
0.127 0.418 0.418
0.775 0.591 0.078
0.225 0.922 0.409
0.435 0.864 0.864
0.775 0.078 0.591
0.679 0.759 0.759
0.321 0.241 0.241
0.000 0.000 0.000
```

E	-3.10	eV per atom
N(E_F)	0.15	states/eV/atom
symmetry	No. 12
energy relative to the elements, uncorrected	-0.82	eV per atom
M_tot	1.06	μB per formula unit

=====

Entry 4:
First-principles (GGA-PBE) data for Lu3SnO after structural relaxation, as listed in Alexandria via LeMat-Bulk.

POSCAR file:
```
Lu3SnO
1.0
4.669 0.000 0.000
0.000 4.669 0.000
0.000 0.000 4.669
Lu O Sn
3 1 1
Direct
0.000 0.000 0.500
0.500 0.000 0.000
0.000 0.500 0.000
0.000 0.000 0.000
0.500 0.500 0.500
```

E	-5.89	eV per atom
N(E_F)	0.86	states/eV/atom
symmetry	No. 221
energy relative to the elements, uncorrected	-1.38	eV per atom
M_tot	0.00	μB per formula unit

=====

Entry 5:
First-principles (GGA-PBE) data for CaTc2P after structural relaxation, as listed in Alexandria via LeMat-Bulk.

POSCAR file:
```
CaTc2P
1.0
3.461 0.000 0.000
0.000 5.258 -0.009
0.000 1.985 4.463
Tc Ca P
2 1 1
Direct
0.000 0.863 0.985
0.000 0.637 0.515
0.500 0.250 0.250
0.500 0.750 0.750
```

E	-7.05	eV per atom
N(E_F)	0.95	states/eV/atom
symmetry	No. 10
M_tot	0.00	μB per formula unit

=====

Entry 6:
First-principles (GGA-PBE) data for LaCdOs2 after structural relaxation, as listed in Alexandria via LeMat-Bulk.

POSCAR file:
```
LaCdOs2
1.0
4.718 0.000 0.000
0.000 2.978 -0.007
0.000 0.120 5.612
Cd Os La
1 2 1
Direct
0.500 0.250 0.250
0.000 0.489 0.541
0.000 0.011 0.959
0.500 0.750 0.750
```

E	-6.45	eV per atom
N(E_F)	0.62	states/eV/atom
symmetry	No. 10
M_tot	0.00	μB per formula unit

=====

Which formula does entry 2 have?
Tb6Sm2Dy3Sc

=====

Number 5 is which compound?
CaTc2P

=====

The highest E belongs to which entry?
RbAs2Cl8

=====

Which value of E does entry 3 give?
-3.10 eV per atom